Mg2TaPt: optimized geometry, GGA-PBE.

POSCAR file:
```
Mg2TaPt
1.0
-3.367 0.000 2.122
-2.102 -0.504 -3.336
0.299 -4.384 0.474
Mg Ta Pt
2 1 1
Cartesian
-2.735 -0.252 -0.607 Mg
0.000 0.000 0.000 Mg
-0.902 -2.444 -1.431 Ta
-1.534 -2.192 1.298 Pt
```

Computed properties:
VASP energy (eV/atom): -5.4350
Energy of formation from the pure elements (meV/atom): -164